VASP calculation (PBE) on K2U3PdO12 after structural relaxation.

## Properties
* ΔE_f (raw): -2.44 eV/atom

Cell lengths 7.5575, 7.5575, 7.5575 Å; angles 63.09, 63.09, 63.09 degrees
Closest atoms and distances in Å follow each position.
Atoms (fractional coordinates):
K (0.1501, 0.1501, 0.1501)  9 O 3.21-3.58
K (0.8499, 0.8499, 0.8499)  9 O 3.21-3.58
U (0.0000, 0.5000, 0.5000)  6 O 2.00-2.13
U (0.5000, 0.0000, 0.5000)  6 O 2.00-2.13
U (0.5000, 0.5000, 0.0000)  6 O 2.00-2.13
Pd (0.5000, 0.5000, 0.5000)  6 O 2.01
O (0.1782, 0.1782, 0.5526)  2 U 2.13
O (0.1782, 0.5526, 0.1782)  2 U 2.13
O (0.1943, 0.5613, 0.5613)  1 U 2.00, 1 Pd 2.01
O (0.4387, 0.4387, 0.8057)  1 U 2.00, 1 Pd 2.01
O (0.4387, 0.8057, 0.4387)  1 U 2.00, 1 Pd 2.01
O (0.4474, 0.8218, 0.8218)  2 U 2.13
O (0.5526, 0.1782, 0.1782)  2 U 2.13
O (0.5613, 0.1943, 0.5613)  1 U 2.00, 1 Pd 2.01
O (0.5613, 0.5613, 0.1943)  1 U 2.00, 1 Pd 2.01
O (0.8057, 0.4387, 0.4387)  1 U 2.00, 1 Pd 2.01
O (0.8218, 0.4474, 0.8218)  2 U 2.13
O (0.8218, 0.8218, 0.4474)  2 U 2.13


VASP calculation (PBE) on PmNdThCd after structural relaxation.

## Properties
* energy relative to the elements: 0.06 eV/atom
* DOS(E_F): 7.89 states/eV per cell

Cell lengths 5.5703, 5.5703, 5.5703 Å; angles 60.00, 60.00, 60.00 degrees
Closest atoms and distances in Å follow each position.
Atoms (fractional coordinates):
Pm (0.0000, 0.0000, 0.0000)  4 Th 3.41, 4 Nd 3.41
Nd (0.2500, 0.2500, 0.2500)  4 Cd 3.41, 4 Pm 3.41
Th (0.7500, 0.7500, 0.7500)  4 Cd 3.41, 4 Pm 3.41
Cd (0.5000, 0.5000, 0.5000)  4 Th 3.41, 4 Nd 3.41


VASP calculation (PBE) on CeNpTeS2 after structural relaxation.

## Properties
* ΔE_f (raw): -1.29 eV/atom
* DOS(E_F): 12.94 states/eV per cell

Cell lengths 7.3839, 7.3839, 7.3839 Å; angles 144.92, 144.92, 50.45 degrees
Closest atoms and distances in Å follow each position.
Atoms (fractional coordinates):
Ce (0.0000, 0.0000, 0.0000)  4 S 2.74
Np (0.7328, 0.7328, 0.0000)  4 S 2.69
Te (0.3650, 0.3650, 0.0000)  4 Np 3.61, 4 Ce 3.63, 4 S 3.96
S (0.1196, 0.6196, 0.5000)  2 Np 2.69, 2 Ce 2.74
S (0.6196, 0.1196, 0.5000)  2 Np 2.69, 2 Ce 2.74


VASP calculation (PBE) on Ca2YTlN after structural relaxation.

## Properties
* ΔE_f (raw): -0.78 eV/atom
* DOS(E_F): 2.58 states/eV per cell

Cell lengths 4.9898, 4.9898, 4.7427 Å; angles 90.00, 90.00, 90.00 degrees
Closest atoms and distances in Å follow each position.
Atoms (fractional coordinates):
Ca (0.0000, 0.5000, 0.0000)  2 N 2.49
Ca (0.5000, 0.0000, 0.0000)  2 N 2.49
Y (0.0000, 0.0000, 0.5000)  2 N 2.37
Tl (0.5000, 0.5000, 0.5000)  8 Ca 3.44, 4 Y 3.53
N (0.0000, 0.0000, 0.0000)  2 Y 2.37, 4 Ca 2.49


VASP calculation (PBE) on Ge2AuCl8 after structural relaxation.

## Properties
* ΔE_f (raw): -0.57 eV/atom
* DOS(E_F): 5.86 states/eV per cell

Cell lengths 7.4007, 7.4007, 7.6099 Å; angles 94.02, 94.02, 66.50 degrees
Closest atoms and distances in Å follow each position.
Atoms (fractional coordinates):
Ge (0.1974, 0.1974, 0.1961)  4 Cl 2.19-2.27
Ge (0.8026, 0.8026, 0.8039)  4 Cl 2.19-2.27
Au (0.0000, 0.0000, 0.5000)  4 Cl 2.68
Cl (0.1041, 0.6766, 0.6857)  1 Ge 2.27
Cl (0.1680, 0.1680, 0.9069)  1 Ge 2.20
Cl (0.3234, 0.8959, 0.3143)  1 Ge 2.27
Cl (0.3709, 0.3709, 0.2820)  1 Ge 2.19
Cl (0.6291, 0.6291, 0.7180)  1 Ge 2.19
Cl (0.6766, 0.1041, 0.6857)  1 Ge 2.27
Cl (0.8320, 0.8320, 0.0931)  1 Ge 2.20
Cl (0.8959, 0.3234, 0.3143)  1 Ge 2.27


VASP calculation (PBE) on PuHfAu3 after structural relaxation.

## Properties
* energy relative to the elements: -0.16 eV/atom
* DOS(E_F): 13.25 states/eV per cell

Cell lengths 6.6398, 6.6398, 6.6398 Å; angles 140.71, 140.71, 56.78 degrees
Closest atoms and distances in Å follow each position.
Atoms (fractional coordinates):
Pu (0.0000, 0.0000, 0.0000)  12 Au 3.35-3.71, 4 Hf 3.48
Hf (0.6252, 0.6252, 0.0000)  5 Au 2.57-2.69
Au (0.2533, 0.7533, 0.5000)  2 Hf 2.69, 2 Au 2.85
Au (0.4050, 0.4050, 0.0000)  1 Hf 2.57, 4 Au 2.85
Au (0.7533, 0.2533, 0.5000)  2 Hf 2.69, 2 Au 2.85


VASP calculation (PBE) on SrPrCu after structural relaxation.

## Properties
* energy relative to the elements: 0.02 eV/atom
* DOS(E_F): 8.47 states/eV per cell

Cell lengths 13.3913, 3.7570, 3.7570 Å; angles 90.16, 90.00, 90.00 degrees
Closest atoms and distances in Å follow each position.
Atoms (fractional coordinates):
Sr (0.1396, 0.0000, 0.0000)  4 Cu 3.24-3.25
Sr (0.8604, 0.0000, 0.0000)  4 Cu 3.24-3.25
Pr (0.3791, 0.5034, 0.5034)  4 Cu 3.10-3.11, 1 Pr 3.24
Pr (0.6209, 0.5034, 0.5034)  4 Cu 3.10-3.11, 1 Pr 3.24
Cu (0.0000, 0.4997, 0.4997)  8 Sr 3.24-3.25
Cu (0.5000, 0.0042, 0.0042)  8 Pr 3.10-3.11


VASP calculation (PBE) on CrNiPt after structural relaxation.

## Properties
* energy relative to the elements: -0.11 eV/atom
* DOS(E_F): 7.06 states/eV per cell

Cell lengths 5.9252, 5.9252, 3.8113 Å; angles 90.00, 90.00, 143.75 degrees
Closest atoms and distances in Å follow each position.
Atoms (fractional coordinates):
Cr (0.0935, 0.9065, 0.7500)  4 Ni 2.53-2.61, 6 Pt 2.65-2.74
Cr (0.9065, 0.0935, 0.2500)  4 Ni 2.53-2.61, 6 Pt 2.65-2.74
Ni (0.2521, 0.7479, 0.2500)  4 Cr 2.53-2.61, 4 Pt 2.62-2.63, 4 Ni 2.65
Ni (0.7479, 0.2521, 0.7500)  4 Cr 2.53-2.61, 4 Pt 2.62-2.63, 4 Ni 2.65
Pt (0.4130, 0.5870, 0.7500)  4 Ni 2.62-2.63, 6 Cr 2.65-2.74, 2 Pt 2.73
Pt (0.5870, 0.4130, 0.2500)  4 Ni 2.62-2.63, 6 Cr 2.65-2.74, 2 Pt 2.73


VASP calculation (PBE) on PrTmSnPb after structural relaxation.

## Properties
* energy relative to the elements: -0.45 eV/atom
* DOS(E_F): 4.25 states/eV per cell

Cell lengths 5.4708, 5.4708, 5.4708 Å; angles 60.00, 60.00, 60.00 degrees
Closest atoms and distances in Å follow each position.
Atoms (fractional coordinates):
Pr (0.0000, 0.0000, 0.0000)  4 Sn 3.35, 4 Pb 3.35
Tm (0.5000, 0.5000, 0.5000)  4 Pb 3.35, 4 Sn 3.35
Sn (0.7500, 0.7500, 0.7500)  4 Pr 3.35, 4 Tm 3.35
Pb (0.2500, 0.2500, 0.2500)  4 Pr 3.35, 4 Tm 3.35


VASP calculation (PBE) on Er7Th3Sc after structural relaxation.

## Properties
* energy relative to the elements: 0.21 eV/atom
* DOS(E_F): 15.13 states/eV per cell

Cell lengths 6.9850, 6.9850, 8.3917 Å; angles 90.00, 90.00, 120.00 degrees
Closest atoms and distances in Å follow each position.
Atoms (fractional coordinates):
Er (0.0000, 0.0000, 0.0000)  3 Th 3.43, 9 Er 3.49
Er (0.1656, 0.3313, 0.6601)  2 Th 3.43, 7 Er 3.45-3.51, 2 Sc 3.49
Er (0.1656, 0.8344, 0.6601)  2 Th 3.43, 7 Er 3.45-3.51, 2 Sc 3.49
Er (0.5018, 0.0037, 0.9921)  8 Er 3.45-3.53, 1 Sc 3.46, 2 Th 3.47
Er (0.5018, 0.4982, 0.9921)  8 Er 3.45-3.53, 1 Sc 3.46, 2 Th 3.47
Er (0.6687, 0.8344, 0.6601)  2 Th 3.43, 7 Er 3.45-3.51, 2 Sc 3.49
Er (0.9963, 0.4982, 0.9921)  8 Er 3.45-3.53, 1 Sc 3.46, 2 Th 3.47
Th (0.3359, 0.1679, 0.3297)  1 Sc 3.38, 5 Er 3.43-3.47, 4 Th 3.47-3.52
Th (0.8321, 0.1679, 0.3297)  1 Sc 3.38, 5 Er 3.43-3.47, 4 Th 3.47-3.52
Th (0.8321, 0.6641, 0.3297)  1 Sc 3.38, 5 Er 3.43-3.47, 4 Th 3.47-3.52
Sc (0.6667, 0.3333, 0.6546)  3 Th 3.38, 9 Er 3.46-3.49


VASP calculation (PBE) on Ce2SmGa6 after structural relaxation.

## Properties
* energy relative to the elements: -0.62 eV/atom
* DOS(E_F): 13.69 states/eV per cell

Cell lengths 7.3965, 7.3965, 4.2026 Å; angles 90.00, 90.00, 120.00 degrees
Closest atoms and distances in Å follow each position.
Atoms (fractional coordinates):
Ce (0.3333, 0.6667, 0.0000)  12 Ga 3.24
Ce (0.6667, 0.3333, 0.0000)  12 Ga 3.24
Sm (0.0000, 0.0000, 0.0000)  12 Ga 3.24
Ga (0.0000, 0.3335, 0.5000)  3 Ga 2.46-2.47
Ga (0.0000, 0.6665, 0.5000)  3 Ga 2.46-2.47
Ga (0.3335, 0.0000, 0.5000)  3 Ga 2.46-2.47
Ga (0.3335, 0.3335, 0.5000)  3 Ga 2.46-2.47
Ga (0.6665, 0.0000, 0.5000)  3 Ga 2.46-2.47
Ga (0.6665, 0.6665, 0.5000)  3 Ga 2.46-2.47


VASP calculation (PBE) on BaTl4Cd after structural relaxation.

## Properties
* energy relative to the elements: -0.10 eV/atom
* DOS(E_F): 3.10 states/eV per cell

Cell lengths 6.5653, 6.5653, 6.5653 Å; angles 60.00, 60.00, 60.00 degrees
Closest atoms and distances in Å follow each position.
Atoms (fractional coordinates):
Ba (0.0000, 0.0000, 0.0000)  12 Tl 3.85, 4 Cd 4.02
Tl (0.3755, 0.3755, 0.3755)  6 Tl 3.27-3.30
Tl (0.3755, 0.3755, 0.8735)  6 Tl 3.27-3.30
Tl (0.3755, 0.8735, 0.3755)  6 Tl 3.27-3.30
Tl (0.8735, 0.3755, 0.3755)  6 Tl 3.27-3.30
Cd (0.7500, 0.7500, 0.7500)  12 Tl 3.85, 4 Ba 4.02


Question: What is the formula in the seventh record?
Answer: SrPrCu